Entry from the Alexandria database: a geometry-optimized YNiAgHg structure (PBE).

The structure in extended XYZ format:
```
4
Lattice="0.000 3.390 3.390 3.390 0.000 3.390 3.390 3.390 0.000" Properties=species:S:1:pos:R:3 pbc="T T T"
Y 0.000 0.000 0.000
Ni 5.086 5.086 5.086
Ag 1.695 1.695 1.695
Hg 3.390 3.390 3.390
```

## Properties
Magnetization = 0.000 μB/cell
ρ = 9.72 Mg/m³
Space group = F-43m, No. 216
ΔH_f (0 K) = -0.18 eV per atom
DOS at the Fermi energy = 2.79 states/eV/cell

***

Entry from the Alexandria database: a geometry-optimized LiLa3O4 structure (PBE).

The structure in extended XYZ format:
```
8
Lattice="5.047 0.000 0.000 0.000 5.047 0.000 0.000 0.000 5.047" Properties=species:S:1:pos:R:3 pbc="T T T"
Li 0.000 0.000 0.000
La 0.000 2.523 2.523
La 2.523 0.000 2.523
La 2.523 2.523 0.000
O 0.000 0.000 2.523
O 0.000 2.523 0.000
O 2.523 0.000 0.000
O 2.523 2.523 2.523
```

## Properties
Magnetization = 0.000 μB/cell
ρ = 6.30 Mg/m³
Space group = Pm-3m, No. 221
DOS at the Fermi energy = 2.48 states/eV/cell
DFT total energy = -58.49 eV/cell

***

Entry from the Alexandria database: a geometry-optimized RbOF2 structure (PBE).

The structure in extended XYZ format:
```
4
Lattice="1.995 1.152 4.838 -1.995 1.152 4.838 0.000 -2.303 4.838" Properties=species:S:1:pos:R:3 pbc="T T T"
Rb 0.000 0.000 0.000
O 0.000 0.000 7.258
F 0.000 0.000 3.295
F 0.000 0.000 11.220
```

## Properties
Magnetization = 3.000 μB/cell
ρ = 3.47 Mg/m³
Space group = R-3m, No. 166
DOS at the Fermi energy = 0.00 states/eV/cell
DFT total energy = -12.68 eV/cell

***

Entry from the Alexandria database: a geometry-optimized LiHfU2As4 structure (PBE).

The structure in extended XYZ format:
```
8
Lattice="6.635 0.000 0.000 0.000 3.974 0.000 -2.369 0.000 6.658" Properties=species:S:1:pos:R:3 pbc="T T T"
Li 0.000 0.000 0.000
Hf -1.184 1.987 3.329
U 2.133 0.000 3.329
U 3.317 1.987 0.000
As -0.211 0.000 4.959
As 0.994 1.987 1.653
As 3.272 1.987 5.005
As 4.477 0.000 1.699
```

## Properties
Magnetization = 0.152 μB/cell
ρ = 9.09 Mg/m³
Space group = P2/m, No. 10
ΔH_f (0 K) = -0.73 eV per atom
DOS at the Fermi energy = 13.64 states/eV/cell

***

Entry from the Alexandria database: a geometry-optimized H3PtBr structure (PBE).

The structure in extended XYZ format:
```
5
Lattice="3.770 0.000 0.000 0.000 3.770 0.000 0.000 0.000 3.770" Properties=species:S:1:pos:R:3 pbc="T T T"
H 0.000 0.000 1.885
H 0.000 1.885 0.000
H 1.885 0.000 0.000
Pt 1.885 1.885 1.885
Br 0.000 0.000 0.000
```

## Properties
Magnetization = 0.000 μB/cell
ρ = 8.62 Mg/m³
Space group = Pm-3m, No. 221
DOS at the Fermi energy = 3.23 states/eV/cell
DFT total energy = -10.82 eV/cell

***

Entry from the Alexandria database: a geometry-optimized SrSmZnPt structure (PBE).

The structure in extended XYZ format:
```
4
Lattice="0.000 3.663 3.663 3.663 0.000 3.663 3.663 3.663 0.000" Properties=species:S:1:pos:R:3 pbc="T T T"
Sr 0.000 0.000 0.000
Sm 3.663 3.663 3.663
Zn 5.494 5.494 5.494
Pt 1.831 1.831 1.831
```

## Properties
Magnetization = 0.000 μB/cell
ρ = 8.42 Mg/m³
Space group = F-43m, No. 216
ΔH_f (0 K) = -0.56 eV per atom
DOS at the Fermi energy = 2.68 states/eV/cell

***

Q: What is the formula in the third record?
A: RbOF2

***

Q: Which formula does entry 6 have?
A: SrSmZnPt

***

What did the third record say?
Entry from the Alexandria database: a geometry-optimized RbOF2 structure (PBE).

The structure in extended XYZ format:
```
4
Lattice="1.995 1.152 4.838 -1.995 1.152 4.838 0.000 -2.303 4.838" Properties=species:S:1:pos:R:3 pbc="T T T"
Rb 0.000 0.000 0.000
O 0.000 0.000 7.258
F 0.000 0.000 3.295
F 0.000 0.000 11.220
```

## Properties
Magnetization = 3.000 μB/cell
ρ = 3.47 Mg/m³
Space group = R-3m, No. 166
DOS at the Fermi energy = 0.00 states/eV/cell
DFT total energy = -12.68 eV/cell